# CdPCl2O, relaxed, DFT PBE-GGA
# SG: P4/mmm, No. 123
# Crystal system: tetragonal
# Total moment, μB per cell: 0.70
# Energy relative to the lowest polymorph listed for this composition, eV/f.u.: 0.00
# VASP energy, eV per atom: -2.55
data_CdPCl2O
_chemical_formula_sum 'Cd1 P1 Cl2 O1'
_symmetry_space_group_name_H-M 'P 1'
_symmetry_Int_Tables_number 1
_cell_length_a 4.644
_cell_length_b 4.644
_cell_length_c 4.235
_cell_angle_alpha 90.00
_cell_angle_beta 90.00
_cell_angle_gamma 90.00
loop_
_symmetry_equiv_pos_as_xyz
'x,y,z'
loop_
_atom_site_label
_atom_site_type_symbol
_atom_site_fract_x
_atom_site_fract_y
_atom_site_fract_z
P1 P 0.000 0.000 0.500
Cl1 Cl 0.000 0.500 0.000
Cl2 Cl 0.500 0.000 0.000
O1 O 0.000 0.000 0.000
Cd1 Cd 0.500 0.500 0.500